Entry 1:
BeMo2Se: single point on PBEsol structure, meta-GGA SCAN.

Unit cell a=3.1693 b=4.1941 c=4.8842 alpha=115.43 beta=108.93 gamma=90.00
With the nearest neighbours (Å) after each atom.
Positions (direct):
Se 0.5082 0.5082 0.0165  2 Be 2.54, 6 Mo 2.59-2.64
Mo 0.9833 0.9833 0.9666  2 Be 2.50, 4 Se 2.64, 4 Mo 2.77-2.79
Mo 0.7595 0.2595 0.5191  2 Se 2.59, 4 Be 2.63, 4 Mo 2.77-2.79
Be 0.2489 0.7489 0.4978  6 Mo 2.50-2.63, 2 Se 2.54

Calculated values
Energy above the most stable polymorph in this dataset (eV per atom): 0.0000
Total magnetic moment (μB/atom): 0.00
VASP energy (eV/atom): -23.240
Formation energy (no corrections) (eV per atom): 0.310

***

Entry 2:
BeMoSe2: single point on PBEsol structure, meta-GGA SCAN.

Unit cell a=3.1163 b=4.1717 c=4.5874 alpha=90.00 beta=90.00 gamma=90.00
With the nearest neighbours (Å) after each atom.
Positions (direct):
Se 0.0000 0.0000 0.0000  4 Be 2.60, 4 Mo 2.77
Be 0.5000 0.5000 0.0000  8 Se 2.60-2.77
Mo 0.5000 0.0000 0.5000  8 Se 2.60-2.77
Se 0.0000 0.5000 0.5000  4 Mo 2.60, 4 Be 2.77

Calculated values
Total magnetic moment (μB/atom): 0.00
VASP energy (eV/atom): -19.406
Formation energy (no corrections) (eV per atom): 0.443

***

Entry 3:
BeMoSe2: single point on PBEsol structure, meta-GGA SCAN.

Unit cell a=5.5959 b=6.2862 c=5.5959 alpha=63.57 beta=90.00 gamma=116.43
With the nearest neighbours (Å) after each atom.
Positions (direct):
Mo 0.7500 0.5000 0.7500  4 Se 2.47
Be 0.5000 0.0000 0.5000  4 Se 2.19
Mo 0.0000 0.0000 0.0000  4 Se 2.47
Se 0.8750 0.2500 0.5841  2 Be 2.19
Se 0.3750 0.2500 0.1659  2 Be 2.19
Se 0.1659 0.7500 0.8750  2 Be 2.19
Se 0.5841 0.7500 0.3750  2 Be 2.19
Be 0.2500 0.5000 0.2500  4 Se 2.19

Calculated values
Total magnetic moment (μB/atom): 0.50
VASP energy (eV/atom): -19.932
Formation energy (no corrections) (eV per atom): -0.083